Below is an optimized crystal structure of BaNi2AgMo, with properties calculated at the GGA-PBE level.

Summary:
**Size of the total moment**: 4.673 μB per formula unit
**Volume**: 122.42 Å³ per cell
**DFT formation energy**: 1.18 eV per atom
**DOS at the Fermi energy**: 0.97 states/eV per atom

```
data_BaNi2AgMo
_symmetry_space_group_name_H-M 'P 4/m m m'
_symmetry_Int_Tables_number 123
_symmetry_space_group_name_Hall '-P 4 2'
_cell_length_a 4.904
_cell_length_b 4.904
_cell_length_c 5.090
_cell_angle_alpha 90.00
_cell_angle_beta 90.00
_cell_angle_gamma 90.00
loop_
_atom_site_label
_atom_site_type_symbol
_atom_site_fract_x
_atom_site_fract_y
_atom_site_fract_z
_atom_site_occupancy
Ba1 Ba 0.000 0.000 0.000 1
Ni1 Ni 0.000 0.500 0.500 1
Ag1 Ag 0.500 0.500 0.500 1
Mo1 Mo 0.500 0.500 0.000 1
```